Material: Y2CuSb2
Method: DFT, PBE
State: relaxed

Calculated values
energy relative to the lowest polymorph listed for this composition: 0.000 eV/f.u.
uncorrected formation energy: -0.586 eV per atom
M_tot: 0.00 μB per formula unit

Cell: 7.731 7.731 4.254 Å, 90.00 90.00 90.00°
Space group P4/mbm (No. 127)
Inequivalent atoms, fractional coordinates:
Y1 0.157 0.343 0.000
Cu1 0.000 0.000 0.500
Sb1 0.155 0.655 0.500